[1]
The following is a DFT calculation (PBE-GGA) of crystalline ScSbPd2 at its relaxed geometry.

Lattice parameters (Å, degrees): 4.8786 4.8786 4.8786 126.73 126.73 78.69
Last column: nearest neighbours and their distance in Å.
Fractional coordinates of all 4 atoms:
Sc: 0.0000 0.0000 0.0000  8 Pd 2.89, 4 Sb 3.09
Sb: 0.5000 0.5000 0.0000  8 Pd 2.89, 4 Sc 3.09
Pd: 0.2500 0.7500 0.5000  4 Sb 2.89, 4 Sc 2.89, 4 Pd 3.09
Pd: 0.7500 0.2500 0.5000  4 Sb 2.89, 4 Sc 2.89, 4 Pd 3.09


[2]
The following is a DFT calculation (PBE-GGA) of crystalline Sc2SbPd4 at its relaxed geometry.

Calculated values
E above lowest polymorph = 652 meV/atom

Lattice parameters (Å, degrees): 7.6626 7.6626 7.6626 142.99 142.99 53.35
Last column: nearest neighbours and their distance in Å.
Fractional coordinates of all 7 atoms:
Sc: 0.1269 0.1269 0.0000  1 Pd 2.42
Sc: 0.8731 0.8731 0.0000  1 Pd 2.42
Sb: 0.5000 0.5000 0.0000  6 Pd 2.43-2.69
Pd: 0.0000 0.5000 0.5000  2 Sb 2.43
Pd: 0.3035 0.3035 0.0000  1 Sc 2.42, 1 Sb 2.69
Pd: 0.5000 0.0000 0.5000  2 Sb 2.43
Pd: 0.6965 0.6965 0.0000  1 Sc 2.42, 1 Sb 2.69


How do the records compare in E? In the order shown, they have -6.04 -5.44 eV/atom.
How do the records compare in formation energy from raw total energies? In the order shown, they have -0.832 -0.076 eV/atom.